Entry from OQMD: crystalline CuTcBiAu at its relaxed geometry (GGA-PBE).

a = 6.7342 Å, b = 6.7342 Å, c = 6.7342 Å
α = 90.00°, β = 90.00°, γ = 90.00°
Space group F-43m (No. 216)
Asymmetric unit:
Cu 0.0000 0.0000 0.0000 (multiplicity 4)
Tc 0.2500 0.2500 0.2500 (multiplicity 4)
Bi 0.2500 0.2500 0.7500 (multiplicity 4)
Au 0.0000 0.0000 0.5000 (multiplicity 4)

Results
ΔE to the lowest computed polymorph in eV/atom: 0.180
Mass density in g/cm3: 12.3
Calculated volume in Å³/atom: 19.09